(1)
First-principles (PBE) data for a relaxed TcNiP crystal, as listed in Alexandria via LeMat-Bulk.

The calculation puts the total magnetization at 0.00 μB per formula unit. The energy comes out at -7.516 eV per atom. For the mass density, the calculation gives 8.257 g/cm3. The calculation puts the relative energy among the computed polymorphs at 171.9 meV per atom. Its energy of formation is -0.3302 eV/atom. The crystal system is monoclinic.

The space group is Pm (No. 6) and the conventional cell measures 3.710, 2.980 and 6.830 Å, with angles of 90.00, 91.76 and 90.00 degrees. The distinct sites, in fractional coordinates, are Tc at (0.000, 0.000, 0.000), Tc at (0.022, 0.500, 0.345), Ni at (0.479, 0.500, 0.789), Ni at (0.532, 0.000, 0.494), P at (0.035, 0.000, 0.656) and P at (0.510, 0.500, 0.120).

(2)
First-principles (PBE) data for a relaxed AsH4Cl2 crystal, as listed in Alexandria via LeMat-Bulk.

The calculation puts the total magnetization at 0.00 μB per formula unit. The energy comes out at -3.162 eV per atom. For the mass density, the calculation gives 1.780 g/cm3. The crystal system is monoclinic.

The space group is Cm (No. 8) and the conventional cell measures 9.037, 6.462 and 5.727 Å, with angles of 90.00, 123.27 and 90.00 degrees. The distinct sites, in fractional coordinates, are As at (0.000, 0.000, 0.000), H at (0.011, 0.500, 0.623), H at (0.199, 0.000, 0.206), H at (0.450, 0.317, 0.114) and Cl at (0.010, 0.259, 0.604).